{
  "formula": "PrGdTh4",
  "functional": "PBE",
  "state": "relaxed",
  "e_form_ev_per_atom": 0.257,
  "total_energy_ev_per_atom": -7.83,
  "cell": [[0.000, 4.716, 4.716], [4.716, 0.000, 4.716], [4.716, 4.716, 0.000]],
  "species": ["Pr", "Gd", "Th", "Th", "Th", "Th"],
  "fractional_positions": [[0.000, 0.000, 0.000], [0.750, 0.750, 0.750], [0.375, 0.375, 0.375], [0.375, 0.375, 0.874], [0.375, 0.874, 0.375], [0.874, 0.375, 0.375]]
}